Al2Tl, optimized geometry, DFT PBE; E above lowest polymorph = 0.074 eV per atom; electronic total energy = -18.2 eV per cell; ΔE_f = 0.250 eV per atom; DOS(E_F) = 1.47 states/eV/f.u.
1.0
-2.630 2.630 5.093
2.630 -2.630 5.093
2.630 2.630 -5.093
Tl Al
2 4
direct
0.250 0.250 0.000
0.750 0.750 0.000
0.817 0.317 0.134
0.317 0.183 0.500
0.683 0.817 0.500
0.183 0.683 0.866

---

ScTaMoIr, optimized geometry, DFT PBE; electronic total energy = -39.7 eV per cell; ΔE_f = -0.458 eV per atom; DOS(E_F) = 3.39 states/eV/f.u.
1.0
-1.523 -2.593 3.421
1.951 -4.028 0.848
2.540 -0.558 3.740
Ta Mo Sc Ir
1 1 1 1
direct
0.750 0.750 0.750
0.500 0.500 0.500
0.250 0.250 0.250
0.000 0.000 0.000

---

PrSm2C, optimized geometry, DFT PBE; E above lowest polymorph = 0.000 eV per atom; electronic total energy = -23.8 eV per cell; ΔE_f = -0.084 eV per atom; DOS(E_F) = 5.59 states/eV/f.u.
1.0
-0.925 -2.539 2.483
3.537 0.621 -0.759
0.318 6.593 6.860
C Sm Pr
1 2 1
direct
0.000 0.000 0.500
0.667 0.334 0.353
0.333 0.666 0.647
0.000 0.000 0.000

---

Ca2TlOs, optimized geometry, DFT PBE; E above lowest polymorph = 0.035 eV per atom; electronic total energy = -16.6 eV per cell; ΔE_f = 0.257 eV per atom; DOS(E_F) = 2.92 states/eV/f.u.
1.0
-2.156 -4.622 3.593
4.027 -3.930 2.695
-1.857 5.922 -0.630
Os Tl Ca
1 1 2
direct
0.487 0.487 0.000
0.293 0.793 0.500
0.010 0.010 0.000
0.710 0.210 0.500

---

VAsC2, optimized geometry, DFT PBE; electronic total energy = -58.6 eV per cell; ΔE_f = 0.728 eV per atom; DOS(E_F) = 3.27 states/eV/f.u.
1.0
-4.242 0.282 2.035
0.278 -4.546 1.211
-0.061 -0.990 5.469
C V As
4 2 2
direct
0.126 0.625 0.250
0.875 0.874 0.750
0.375 0.376 0.750
0.624 0.125 0.250
0.250 0.750 0.500
0.500 0.500 0.000
0.750 0.250 0.500
0.000 0.000 0.000

---

AcTbDyY2, optimized geometry, DFT PBE; electronic total energy = -49.0 eV per cell; ΔE_f = 0.351 eV per atom; DOS(E_F) = 6.46 states/eV/f.u.
1.0
-5.888 4.166 1.336
0.700 -1.679 8.320
3.171 5.603 -3.495
Dy Y Ac Tb
2 4 2 2
direct
0.250 0.296 0.593
0.750 0.704 0.407
0.000 0.309 0.000
0.000 0.691 0.000
0.500 0.309 0.000
0.500 0.691 0.000
0.750 0.253 0.506
0.250 0.747 0.494
0.750 0.970 0.941
0.250 0.030 0.059

---

TlTc3Bi, optimized geometry, DFT PBE; E above lowest polymorph = 0.000 eV per atom; electronic total energy = -26.7 eV per cell; ΔE_f = 2.126 eV per atom; DOS(E_F) = 6.69 states/eV/f.u.
1.0
5.031 0.000 0.000
0.000 5.031 0.000
0.000 0.000 5.031
Tc Bi Tl
3 1 1
direct
0.500 0.000 0.000
0.000 0.500 0.000
0.000 0.000 0.500
0.000 0.000 0.000
0.500 0.500 0.500

---

MgReAs, optimized geometry, DFT PBE; E above lowest polymorph = 0.114 eV per atom; electronic total energy = -18.5 eV per cell; ΔE_f = 0.075 eV per atom; DOS(E_F) = 1.80 states/eV/f.u.
1.0
-1.015 1.098 2.690
-1.933 -0.271 -2.380
-1.475 -5.959 1.876
Mg Re As
1 1 1
direct
0.333 0.667 0.346
0.667 0.333 0.691
0.000 0.000 0.962

---

Sm5Y7, optimized geometry, DFT PBE; E above lowest polymorph = 0.181 eV per atom; electronic total energy = -66.6 eV per cell; ΔE_f = 0.183 eV per atom; DOS(E_F) = 21.27 states/eV/f.u.
1.0
-5.327 1.924 -0.922
0.857 -4.880 2.719
1.647 9.806 10.951
Y Sm
7 5
direct
0.944 0.888 0.786
0.056 0.112 0.214
0.234 0.468 0.672
0.312 0.625 0.920
0.766 0.532 0.328
0.500 0.000 0.500
0.688 0.375 0.080
0.000 0.000 0.000
0.613 0.225 0.801
0.141 0.283 0.437
0.859 0.717 0.563
0.387 0.775 0.199

---

NdTmIr, optimized geometry, DFT PBE; E above lowest polymorph = 0.000 eV per atom; electronic total energy = -20.0 eV per cell; ΔE_f = -0.618 eV per atom; DOS(E_F) = 3.46 states/eV/f.u.
1.0
-4.714 -0.917 0.733
-1.641 -0.841 4.495
-2.798 3.293 2.220
Ir Nd Tm
1 1 1
direct
0.250 0.250 0.250
0.000 0.000 0.000
0.500 0.500 0.500

---

Li2Mg2Pd3, optimized geometry, DFT PBE; E above lowest polymorph = 0.144 eV per atom; electronic total energy = -25.5 eV per cell; ΔE_f = -0.412 eV per atom; DOS(E_F) = 2.45 states/eV/f.u.
1.0
-0.488 0.431 2.870
-6.446 -1.439 -0.881
3.626 -5.246 -0.104
Li Mg Pd
2 2 3
direct
0.087 0.416 0.174
0.913 0.584 0.826
0.638 0.845 0.276
0.362 0.155 0.724
0.286 0.721 0.572
0.000 0.000 0.000
0.714 0.279 0.428

---

SrZnSb3, optimized geometry, DFT PBE; E above lowest polymorph = 0.000 eV per atom; electronic total energy = -15.6 eV per cell; DOS(E_F) = 3.44 states/eV/f.u.
1.0
-3.943 1.253 3.402
0.722 -4.654 2.551
3.553 2.336 3.257
Sb Zn Sr
3 1 1
direct
0.000 0.500 0.000
0.500 0.000 0.000
0.000 0.000 0.500
0.000 0.000 0.000
0.500 0.500 0.500

---

Which of these has the lowest electronic total energy? Sm5Y7